1.
An optimized crystal structure of LaTlCl, computed with GGA-PBE.

```
3
Lattice="0.0000 3.6808 3.6808 3.6808 0.0000 3.6808 3.6808 3.6808 0.0000" Properties=species:S:1:pos:R:3 pbc="T T T"
La 0.0000 0.0000 0.0000
Tl 1.8404 1.8404 1.8404
Cl 5.5211 5.5211 5.5211
```

Computed properties:
For the distance to the lowest polymorph of the same formula, the calculation gives 36.8 kJ/mol of atoms. For the formation energy without anion corrections, the calculation gives -0.544 eV per atom. The value obtained for the magnetic moment is 0.00 μB per cell.

2.
An optimized crystal structure of Cr2NiAs, computed with GGA-PBE.

```
4
Lattice="1.5706 -2.1419 0.0000 1.5706 2.1419 0.0000 0.0000 0.0000 7.5611" Properties=species:S:1:pos:R:3 pbc="T T T"
Cr 0.0000 0.0000 0.0000
Cr 1.5706 0.0000 1.7664
Ni 1.5706 0.0000 5.7014
As 0.0000 0.0000 3.7463
```

Computed properties:
As for the electronic total energy: -7.17 eV/atom. The value obtained for the magnetic moment is 0.00 μB per cell.

3.
An optimized crystal structure of Tb5PuTl3, computed with GGA-PBE.

```
18
Lattice="9.3888 0.0000 0.0000 -4.6944 8.1309 0.0000 0.0000 0.0000 6.6778" Properties=species:S:1:pos:R:3 pbc="T T T"
Tb -1.4776 2.5593 1.6694
Tb -3.2168 5.5717 5.0083
Tb 2.9552 0.0000 1.6694
Tb 1.4776 2.5593 5.0083
Tb 0.0000 5.4206 0.0000
Tb 0.0000 5.4206 3.3389
Tb 4.6944 2.7103 0.0000
Tb 4.6944 2.7103 3.3389
Tb 6.4336 0.0000 5.0083
Tb 3.2168 5.5717 1.6694
Pu 0.0000 0.0000 0.0000
Pu 0.0000 0.0000 3.3389
Tl -1.6416 2.8433 5.0083
Tl -3.0528 5.2877 1.6694
Tl 3.2831 0.0000 5.0083
Tl 1.6416 2.8433 1.6694
Tl 6.1057 0.0000 1.6694
Tl 3.0528 5.2877 5.0083
```

Computed properties:
As for the electronic total energy: -5.19 eV/atom. The value obtained for the magnetic moment is 13.67 μB per cell.

4.
An optimized crystal structure of Zr2ZnW, computed with GGA-PBE.

```
4
Lattice="1.7488 -2.3608 0.0000 1.7488 2.3608 0.0000 0.0000 0.0000 9.2004" Properties=species:S:1:pos:R:3 pbc="T T T"
Zr 0.0000 0.0000 2.2500
Zr 0.0000 0.0000 6.9504
Zn 1.7488 0.0000 4.6002
W 1.7488 0.0000 0.0000
```

Computed properties:
As for the electronic total energy: -7.80 eV/atom. The value obtained for the magnetic moment is 0.00 μB per cell.

5.
An optimized crystal structure of Li5Cd8Pt, computed with GGA-PBE.

```
14
Lattice="-4.0830 4.0830 4.2627 4.0830 -4.0830 4.2627 4.0830 4.0830 -4.2627" Properties=species:S:1:pos:R:3 pbc="T T T"
Li 0.0000 0.0000 0.0000
Li 1.7814 3.1245 -1.4031
Li 5.0415 1.7814 1.4031
Li 2.3016 0.9585 2.8597
Li -0.9585 2.3016 5.6658
Cd 2.6741 0.7859 0.1026
Cd 4.6929 2.7035 -1.5143
Cd 3.2970 -1.4089 4.1601
Cd -0.6099 1.3795 2.7485
Cd 2.7035 3.4730 1.5143
Cd 0.7859 5.4919 -0.1026
Cd 1.3795 0.6099 5.7770
Cd 1.4089 3.2970 4.3653
Pt 0.0000 4.0830 2.1314
```

Computed properties:
As for the electronic total energy: -1.80 eV/atom. The value obtained for the magnetic moment is 0.00 μB per cell.

6.
An optimized crystal structure of LiYScBe, computed with GGA-PBE.

```
4
Lattice="0.0000 3.4220 3.4220 3.4220 0.0000 3.4220 3.4220 3.4220 0.0000" Properties=species:S:1:pos:R:3 pbc="T T T"
Li 0.0000 0.0000 0.0000
Y 1.7110 1.7110 1.7110
Sc 5.1330 5.1330 5.1330
Be 3.4220 3.4220 3.4220
```

Computed properties:
As for the electronic total energy: -4.49 eV/atom. The value obtained for the magnetic moment is 0.00 μB per cell.

7.
An optimized crystal structure of K2NpZn3F12, computed with GGA-PBE.

```
18
Lattice="3.7580 2.1697 5.6251 -3.7580 2.1697 5.6251 0.0000 -4.3393 5.6251" Properties=species:S:1:pos:R:3 pbc="T T T"
K 0.0000 0.0000 1.8994
K 0.0000 0.0000 14.9758
Np 0.0000 0.0000 8.4376
Zn -1.8790 -1.0848 5.6251
Zn -1.8790 1.0848 11.2501
Zn 0.0000 2.1697 5.6251
F -1.8936 -1.0933 7.7410
F 0.0000 -1.6501 6.0478
F -1.4290 0.8251 6.0478
F 0.0000 -2.1865 9.1342
F -1.8936 1.0933 9.1342
F -1.4290 -0.8251 10.8274
F 1.4290 0.8251 6.0478
F 1.8936 -1.0933 7.7410
F 0.0000 2.1865 7.7410
F 1.4290 -0.8251 10.8274
F 0.0000 1.6501 10.8274
F 1.8936 1.0933 9.1342
```

Computed properties:
For the formation energy without anion corrections, the calculation gives -2.708 eV per atom. The value obtained for the magnetic moment is 3.00 μB per cell.

8.
An optimized crystal structure of LaSmEuAl, computed with GGA-PBE.

```
4
Lattice="0.0000 3.9237 3.9237 3.9237 0.0000 3.9237 3.9237 3.9237 0.0000" Properties=species:S:1:pos:R:3 pbc="T T T"
La 0.0000 0.0000 0.0000
Sm 3.9237 3.9237 3.9237
Eu 1.9618 1.9618 1.9618
Al 5.8855 5.8855 5.8855
```

Computed properties:
As for the electronic total energy: -5.98 eV/atom. The value obtained for the magnetic moment is 7.36 μB per cell.

9.
An optimized crystal structure of BeHg2P, computed with GGA-PBE.

```
4
Lattice="-2.0830 2.0830 4.2761 2.0830 -2.0830 4.2761 2.0830 2.0830 -4.2761" Properties=species:S:1:pos:R:3 pbc="T T T"
Be 0.0000 0.0000 0.0000
Hg 2.0830 0.0000 2.1380
Hg 0.0000 0.0000 4.2761
P 0.0000 2.0830 2.1380
```

Computed properties:
For the distance to the lowest polymorph of the same formula, the calculation gives 66.4 kJ/mol of atoms. The value obtained for the magnetic moment is 0.00 μB per cell.

10.
An optimized crystal structure of Pm5Tl2Os, computed with GGA-PBE.

```
16
Lattice="8.0405 0.0000 0.0000 0.0000 12.4107 0.0000 0.0000 0.0000 4.7661" Properties=species:S:1:pos:R:3 pbc="T T T"
Pm 0.0000 0.0000 0.0000
Pm 1.1354 3.6994 0.0000
Pm 1.4714 7.0662 2.3830
Pm 2.5489 0.8609 2.3830
Pm 2.8848 9.9047 0.0000
Pm 4.0202 6.2053 0.0000
Pm 5.1557 2.5059 0.0000
Pm 5.4916 11.5498 2.3830
Pm 6.5691 5.3445 2.3830
Pm 6.9051 8.7113 0.0000
Tl 0.5853 10.3066 2.3830
Tl 3.4350 4.1013 2.3830
Tl 4.6055 8.3094 2.3830
Tl 7.4552 2.1041 2.3830
Os 0.0000 6.2053 0.0000
Os 4.0202 0.0000 0.0000
```

Computed properties:
As for the electronic total energy: -5.24 eV/atom. The value obtained for the magnetic moment is 0.00 μB per cell.

11.
An optimized crystal structure of CsK2CdAg, computed with GGA-PBE.

```
5
Lattice="6.5158 0.0000 0.0000 0.0000 6.5158 0.0000 0.0000 0.0000 7.0566" Properties=species:S:1:pos:R:3 pbc="T T T"
Cs 0.0000 0.0000 0.0000
K 0.0000 3.2579 3.5283
K 3.2579 0.0000 3.5283
Cd 3.2579 3.2579 0.0000
Ag 0.0000 0.0000 3.5283
```

Computed properties:
For the distance to the lowest polymorph of the same formula, the calculation gives 9.5 kJ/mol of atoms. The value obtained for the magnetic moment is 0.38 μB per cell.

12.
An optimized crystal structure of Hg2OsSe, computed with GGA-PBE.

```
4
Lattice="2.9786 -4.4464 0.0000 2.9786 4.4464 0.0000 0.0000 0.0000 2.9103" Properties=species:S:1:pos:R:3 pbc="T T T"
Hg 1.4893 2.2232 0.0000
Hg 1.4893 -2.2232 0.0000
Os 0.0000 0.0000 1.4552
Se 2.9786 0.0000 1.4552
```

Computed properties:
For the formation energy without anion corrections, the calculation gives 0.849 eV per atom. The value obtained for the magnetic moment is 0.56 μB per cell.

> magnetic moment of number 8 (LaSmEuAl)?

7.36 μB per cell

> Look up the magnetic moment of the twelfth one.

0.56 μB per cell

Copy entry 3 word for word.
An optimized crystal structure of Tb5PuTl3, computed with GGA-PBE.

```
18
Lattice="9.3888 0.0000 0.0000 -4.6944 8.1309 0.0000 0.0000 0.0000 6.6778" Properties=species:S:1:pos:R:3 pbc="T T T"
Tb -1.4776 2.5593 1.6694
Tb -3.2168 5.5717 5.0083
Tb 2.9552 0.0000 1.6694
Tb 1.4776 2.5593 5.0083
Tb 0.0000 5.4206 0.0000
Tb 0.0000 5.4206 3.3389
Tb 4.6944 2.7103 0.0000
Tb 4.6944 2.7103 3.3389
Tb 6.4336 0.0000 5.0083
Tb 3.2168 5.5717 1.6694
Pu 0.0000 0.0000 0.0000
Pu 0.0000 0.0000 3.3389
Tl -1.6416 2.8433 5.0083
Tl -3.0528 5.2877 1.6694
Tl 3.2831 0.0000 5.0083
Tl 1.6416 2.8433 1.6694
Tl 6.1057 0.0000 1.6694
Tl 3.0528 5.2877 5.0083
```

Computed properties:
As for the electronic total energy: -5.19 eV/atom. The value obtained for the magnetic moment is 13.67 μB per cell.

> magnetic moment of number 12 (Hg2OsSe)?

0.56 μB per cell